Record 1
# SbMoCl2 | Alexandria via LeMat-Bulk | PBE-GGA | relaxed
data_SbMoCl2
_cell_length_a 10.115
_cell_length_b 3.198
_cell_length_c 7.273
_cell_angle_alpha 90.00
_cell_angle_beta 111.77
_cell_angle_gamma 90.00
_symmetry_space_group_name_H-M 'C 1 m 1'
_symmetry_Int_Tables_number 8
loop_
_symmetry_equiv_pos_as_xyz
'x,y,z'
'x,-y,z'
'x+1/2,y+1/2,z'
'x+1/2,-y+1/2,z'
loop_
_atom_site_label
_atom_site_type_symbol
_atom_site_fract_x
_atom_site_fract_y
_atom_site_fract_z
Sb1 Sb 0.000 0.000 0.000
Mo1 Mo 0.285 0.000 0.000
Cl1 Cl 0.169 0.500 0.721
Cl2 Cl 0.318 0.500 0.279
# Spin magnetization (μB/f.u.): 0.00
# Energy relative to the lowest polymorph listed for this composition (kJ/mol of atoms): 0.0
# Formation energy (no corrections) (eV/f.u.): -1.2
# N(E_F) (states/eV per cell): 4.57



Record 2
# Pm2ErPa2Ru5 | Alexandria via LeMat-Bulk | PBE-GGA | relaxed
data_Pm2ErPa2Ru5
_cell_length_a 11.093
_cell_length_b 11.093
_cell_length_c 3.449
_cell_angle_alpha 90.00
_cell_angle_beta 90.00
_cell_angle_gamma 90.00
_symmetry_space_group_name_H-M 'P 4/m b m'
_symmetry_Int_Tables_number 127
_symmetry_space_group_name_Hall '-P 4 2ab'
loop_
_atom_site_label
_atom_site_type_symbol
_atom_site_fract_x
_atom_site_fract_y
_atom_site_fract_z
Pm1 Pm 0.166 0.334 0.000
Er1 Er 0.000 0.000 0.000
Pa1 Pa 0.144 0.644 0.000
Ru1 Ru 0.000 0.500 0.500
Ru2 Ru 0.042 0.785 0.500
# Spin magnetization (μB/f.u.): 0.00
# DFT formation energy (eV/atom): -0.28
# N(E_F) (states/eV per cell): 20.76



Record 3
# DyTmIrPb | Alexandria via LeMat-Bulk | PBE-GGA | relaxed
data_DyTmIrPb
_cell_length_a 3.477
_cell_length_b 3.477
_cell_length_c 7.979
_cell_angle_alpha 90.00
_cell_angle_beta 90.00
_cell_angle_gamma 90.00
_symmetry_space_group_name_H-M 'P 4 m m'
_symmetry_Int_Tables_number 99
loop_
_symmetry_equiv_pos_as_xyz
'x,y,z'
'-y,x,z'
'-x,-y,z'
'y,-x,z'
'-x,y,z'
'y,x,z'
'x,-y,z'
'-y,-x,z'
loop_
_atom_site_label
_atom_site_type_symbol
_atom_site_fract_x
_atom_site_fract_y
_atom_site_fract_z
Dy1 Dy 0.000 0.000 0.000
Tm1 Tm 0.000 0.000 0.592
Ir1 Ir 0.500 0.500 0.791
Pb1 Pb 0.500 0.500 0.300
# Spin magnetization (μB/f.u.): 0.00
# DFT formation energy (eV/atom): -0.70
# Energy relative to the lowest polymorph listed for this composition (kJ/mol of atoms): 0.0
# N(E_F) (states/eV per cell): 1.35



Record 4
# LuAl4Sb | Alexandria via LeMat-Bulk | PBE-GGA | relaxed
data_LuAl4Sb
_cell_length_a 7.794
_cell_length_b 7.794
_cell_length_c 7.794
_cell_angle_alpha 90.00
_cell_angle_beta 90.00
_cell_angle_gamma 90.00
_symmetry_space_group_name_H-M 'F -4 3 m'
_symmetry_Int_Tables_number 216
_symmetry_space_group_name_Hall 'F -4 2 3'
loop_
_atom_site_label
_atom_site_type_symbol
_atom_site_fract_x
_atom_site_fract_y
_atom_site_fract_z
Lu1 Lu 0.000 0.000 0.000
Al1 Al 0.125 0.125 0.625
Sb1 Sb 0.250 0.250 0.250
# Spin magnetization (μB/f.u.): 0.00
# Formation energy (no corrections) (eV/f.u.): -0.9
# N(E_F) (states/eV per cell): 21.59



Record 5
# NaCaHg | Alexandria via LeMat-Bulk | PBE-GGA | relaxed
data_NaCaHg
_cell_length_a 5.7710
_cell_length_b 5.7710
_cell_length_c 6.2406
_cell_angle_alpha 90.00
_cell_angle_beta 90.00
_cell_angle_gamma 120.00
_symmetry_space_group_name_H-M 'P 63/m m c'
_symmetry_Int_Tables_number 194
_symmetry_space_group_name_Hall '-P 6c 2c'
loop_
_atom_site_label
_atom_site_type_symbol
_atom_site_fract_x
_atom_site_fract_y
_atom_site_fract_z
Na1 Na 0.0000 0.0000 0.2500
Ca1 Ca 0.3333 0.6667 0.2500
Hg1 Hg 0.3333 0.6667 0.7500
# Spin magnetization (μB/f.u.): 0.00
# DFT formation energy (eV/atom): -0.21
# Energy relative to the lowest polymorph listed for this composition (kJ/mol of atoms): 6.1
# N(E_F) (states/eV per cell): 4.19



Record 6
# La3Lu5O12 | Alexandria via LeMat-Bulk | PBE-GGA | relaxed
data_La3Lu5O12
_cell_length_a 13.575
_cell_length_b 13.575
_cell_length_c 13.575
_cell_angle_alpha 90.00
_cell_angle_beta 90.00
_cell_angle_gamma 90.00
_symmetry_space_group_name_H-M 'I a -3 d'
_symmetry_Int_Tables_number 230
_symmetry_space_group_name_Hall '-I 4bd 2c 3'
loop_
_atom_site_label
_atom_site_type_symbol
_atom_site_fract_x
_atom_site_fract_y
_atom_site_fract_z
La1 La 0.000 0.250 0.125
Lu1 Lu 0.000 0.000 0.000
Lu2 Lu 0.000 0.250 0.375
O1 O 0.024 0.058 0.651
# Spin magnetization (μB/f.u.): 0.00
# Formation energy (no corrections) (eV/f.u.): -70.1
# N(E_F) (states/eV per cell): 0.00



Record 7
# AuCI2N | Alexandria via LeMat-Bulk | PBE-GGA | relaxed
data_AuCI2N
_cell_length_a 7.235
_cell_length_b 7.235
_cell_length_c 2.635
_cell_angle_alpha 90.00
_cell_angle_beta 90.00
_cell_angle_gamma 90.00
_symmetry_space_group_name_H-M 'P 4/m m m'
_symmetry_Int_Tables_number 123
_symmetry_space_group_name_Hall '-P 4 2'
loop_
_atom_site_label
_atom_site_type_symbol
_atom_site_fract_x
_atom_site_fract_y
_atom_site_fract_z
Au1 Au 0.000 0.000 0.000
C1 C 0.500 0.500 0.500
I1 I 0.000 0.500 0.500
N1 N 0.500 0.500 0.000
# Spin magnetization (μB/f.u.): 0.00
# Energy relative to the lowest polymorph listed for this composition (kJ/mol of atoms): 0.0
# Formation energy (no corrections) (eV/f.u.): 4.7
# N(E_F) (states/eV per cell): 3.02



Record 8
# AcSmCBr | Alexandria via LeMat-Bulk | PBE-GGA | relaxed
data_AcSmCBr
_cell_length_a 3.8672
_cell_length_b 3.8672
_cell_length_c 23.3047
_cell_angle_alpha 90.00
_cell_angle_beta 90.00
_cell_angle_gamma 120.00
_symmetry_space_group_name_H-M 'R 3 m'
_symmetry_Int_Tables_number 160
_symmetry_space_group_name_Hall 'R 3 -2"'
loop_
_atom_site_label
_atom_site_type_symbol
_atom_site_fract_x
_atom_site_fract_y
_atom_site_fract_z
Ac1 Ac 0.0000 0.0000 0.0000
Sm1 Sm 0.0000 0.0000 0.2108
C1 C 0.0000 0.0000 0.5983
Br1 Br 0.0000 0.0000 0.7811
# Spin magnetization (μB/f.u.): 0.00
# Formation energy (no corrections) (eV/f.u.): -3.2
# N(E_F) (states/eV per cell): 6.19